Record 1
Entry from the Alexandria database: a relaxed SrFeW2 crystal (PBE-GGA).

Output
The size of the total moment comes out at 1.8 μB per formula unit. The value obtained for the total energy is -7.701 eV per atom. The value obtained for the theoretical density is 11.332 g/cm³. Its formation energy from the elements is 1312 meV/atom. Its density of states at the Fermi level is 1.39 states/eV per atom.

abc: 3.8739 3.8739 9.9819
angles: 90.00 90.00 90.00
Space group I4/mmm (No. 139)
Asymmetric unit:
Sr 0.0000 0.0000 0.0000 [2 per cell]
Fe 0.0000 0.0000 0.5000 [2 per cell]
W 0.0000 0.5000 0.2500 [4 per cell]


Record 2
Entry from the Alexandria database: a relaxed SrFeW2 crystal (PBE-GGA).

Output
The size of the total moment comes out at 1.6 μB per formula unit. The value obtained for the total energy is -8.136 eV per atom. The value obtained for the theoretical density is 10.538 g/cm³. Its formation energy from the elements is 877 meV/atom. Its density of states at the Fermi level is 1.41 states/eV per atom.

abc: 3.2622 3.2622 7.5686
angles: 90.00 90.00 90.00
Space group P4/mmm (No. 123)
Asymmetric unit:
Sr 0.0000 0.0000 0.0000 [1 per cell]
Fe 0.0000 0.0000 0.5000 [1 per cell]
W 0.5000 0.5000 0.3423 [2 per cell]


Record 3
Entry from the Alexandria database: a relaxed SrFeW2 crystal (PBE-GGA).

Output
The size of the total moment comes out at 2.4 μB per formula unit. The value obtained for the total energy is -8.234 eV per atom. The value obtained for the theoretical density is 10.325 g/cm³. Its formation energy from the elements is 779 meV/atom. Its density of states at the Fermi level is 1.06 states/eV per atom.

abc: 2.8534 4.1799 6.9985
angles: 90.00 99.98 90.00
Space group Pm (No. 6)
Asymmetric unit:
Sr 0.0000 0.0000 0.0000 [1 per cell]
Fe 0.2172 0.5000 0.6680 [1 per cell]
W 0.5163 0.0000 0.5154 [1 per cell]
W 0.7675 0.5000 0.3392 [1 per cell]